First-principles (PBE-GGA) data for an optimized crystal structure of Lu4Sc2Si3C3, as listed in OQMD.

Computed properties:
**Energy**: -162.1 eV/cell

abc: 6.0253 6.0253 14.6342
angles: 101.93 101.93 59.75
Positions (direct):
Lu: 0.0351 0.1973 0.0923
Lu: 0.1387 0.3045 0.4073
Lu: 0.1973 0.0351 0.5923
Lu: 0.3045 0.1387 0.9073
Lu: 0.6955 0.8613 0.0927
Lu: 0.8027 0.9649 0.4077
Lu: 0.8613 0.6955 0.5927
Lu: 0.9649 0.8027 0.9077
Sc: 0.3627 0.5275 0.0842
Sc: 0.4725 0.6373 0.4158
Sc: 0.5275 0.3627 0.5842
Sc: 0.6373 0.4725 0.9158
Si: 0.0217 0.9783 0.7500
Si: 0.2743 0.4896 0.7500
Si: 0.4896 0.2743 0.2500
Si: 0.5104 0.7257 0.7500
Si: 0.7257 0.5104 0.2500
Si: 0.9783 0.0217 0.2500
C: 0.0000 0.5000 0.0000
C: 0.1740 0.6624 0.4963
C: 0.3376 0.8260 0.0037
C: 0.5000 0.0000 0.5000
C: 0.6624 0.1740 0.9963
C: 0.8260 0.3376 0.5037


First-principles (PBE-GGA) data for an optimized crystal structure of BaMoIr2, as listed in OQMD.

Computed properties:
**Energy**: -26.5 eV/cell

abc: 4.7422 4.7422 4.7422
angles: 60.00 60.00 60.00
Positions (direct):
Ba: 0.0000 0.0000 0.0000
Mo: 0.2500 0.2500 0.2500
Ir: 0.5000 0.5000 0.5000
Ir: 0.7500 0.7500 0.7500


First-principles (PBE-GGA) data for an optimized crystal structure of GdGeNO, as listed in OQMD.

Computed properties:
**E above lowest polymorph**: 1.06 eV per formula unit

abc: 6.4774 6.6178 5.5129
angles: 90.00 90.00 90.00
Positions (direct):
Gd: 0.0707 0.1833 0.0000
Gd: 0.4293 0.1833 0.5000
Gd: 0.5707 0.8167 0.0000
Gd: 0.9293 0.8167 0.5000
Ge: 0.1094 0.6769 0.0070
Ge: 0.3906 0.6769 0.5070
Ge: 0.6094 0.3231 0.0070
Ge: 0.8906 0.3231 0.5070
N: 0.0890 0.1234 0.5832
N: 0.4110 0.1234 0.0832
N: 0.5890 0.8766 0.5832
N: 0.9110 0.8766 0.0832
O: 0.0420 0.4709 0.2475
O: 0.4580 0.4709 0.7475
O: 0.5420 0.5291 0.2475
O: 0.9580 0.5291 0.7475


First-principles (PBE-GGA) data for an optimized crystal structure of ErSc3Te2C2, as listed in OQMD.

Computed properties:
**Energy**: -55.1 eV/cell

abc: 3.6273 3.6273 13.4072
angles: 90.00 90.00 120.00
Positions (direct):
Er: 0.0000 0.0000 0.0000
Sc: 0.0000 0.0000 0.6738
Sc: 0.6667 0.3333 0.1855
Sc: 0.6667 0.3333 0.4990
Te: 0.0000 0.0000 0.3425
Te: 0.6667 0.3333 0.8295
C: 0.3333 0.6667 0.0968
C: 0.3333 0.6667 0.5864


First-principles (PBE-GGA) data for an optimized crystal structure of TaNb, as listed in OQMD.

Computed properties:
**Energy of formation from the pure elements**: 0.00 eV per formula unit
**E above lowest polymorph**: 0.00 eV per formula unit

abc: 3.3168 3.3168 3.3168
angles: 90.00 90.00 90.00
Positions (direct):
Ta: 0.0000 0.0000 0.0000
Nb: 0.5000 0.5000 0.5000


First-principles (PBE-GGA) data for an optimized crystal structure of Pr3NiPt8, as listed in OQMD.

Computed properties:
**Energy of formation from the pure elements**: -10.07 eV per formula unit

abc: 9.3351 9.3351 9.3351
angles: 34.16 34.16 34.16
Positions (direct):
Pr: 0.0000 0.0000 0.0000
Pr: 0.1402 0.1402 0.1402
Pr: 0.8598 0.8598 0.8598
Ni: 0.5000 0.5000 0.5000
Pt: 0.0863 0.5872 0.5872
Pt: 0.3326 0.3326 0.3326
Pt: 0.4128 0.4128 0.9137
Pt: 0.4128 0.9137 0.4128
Pt: 0.5872 0.0863 0.5872
Pt: 0.5872 0.5872 0.0863
Pt: 0.6674 0.6674 0.6674
Pt: 0.9137 0.4128 0.4128


First-principles (PBE-GGA) data for an optimized crystal structure of TmCuAgS3, as listed in OQMD.

Computed properties:
**Energy**: -56.4 eV/cell

abc: 6.4383 6.4383 10.2075
angles: 90.00 90.00 145.87
Positions (direct):
Tm: 0.0000 0.0000 0.0000
Tm: 0.0000 0.0000 0.5000
Cu: 0.4761 0.5239 0.7500
Cu: 0.5239 0.4761 0.2500
Ag: 0.2254 0.7746 0.2500
Ag: 0.7746 0.2254 0.7500
S: 0.0897 0.9103 0.7500
S: 0.3586 0.6414 0.5746
S: 0.3586 0.6414 0.9254
S: 0.6414 0.3586 0.0746
S: 0.6414 0.3586 0.4254
S: 0.9103 0.0897 0.2500


First-principles (PBE-GGA) data for an optimized crystal structure of AuS2, as listed in OQMD.

Computed properties:
**Energy**: -16.9 eV/cell

abc: 5.3268 5.3268 5.3268
angles: 60.00 60.00 60.00
Positions (direct):
Au: 0.1250 0.1250 0.1250
Au: 0.8750 0.8750 0.8750
S: 0.0000 0.5000 0.5000
S: 0.5000 0.0000 0.5000
S: 0.5000 0.5000 0.0000
S: 0.5000 0.5000 0.5000